# TmZnSb GGA-PBE optimized geometry
data_TmZnSb
_chemical_formula_sum 'Tm1 Zn1 Sb1'
_cell_length_a 4.3637
_cell_length_b 4.3637
_cell_length_c 4.2609
_cell_angle_alpha 90.00
_cell_angle_beta 90.00
_cell_angle_gamma 120.00
_symmetry_space_group_name_H-M 'P 3 m 1'
_symmetry_Int_Tables_number 156
loop_
_symmetry_equiv_pos_as_xyz
'x,y,z'
'-y,x-y,z'
'-x+y,-x,z'
'-y,-x,z'
'-x+y,y,z'
'x,x-y,z'
loop_
_atom_site_label
_atom_site_fract_x
_atom_site_fract_y
_atom_site_fract_z
Tm1 0.0000 0.0000 0.0000
Zn1 0.6667 0.3333 0.3176
Sb1 0.3333 0.6667 0.5541
# **Relative energy among the computed polymorphs**: 0 meV/atom
# **Total DFT energy (no corrections)**: -3.800 eV per atom
# **Uncorrected formation energy**: -1.53 eV per formula unit

# Tm4ZnSb GGA-PBE optimized geometry
data_Tm4ZnSb
_chemical_formula_sum 'Tm64 Zn16 Sb16'
_cell_length_a 13.645
_cell_length_b 13.645
_cell_length_c 13.645
_cell_angle_alpha 90.00
_cell_angle_beta 90.00
_cell_angle_gamma 90.00
_symmetry_space_group_name_H-M 'F -4 3 m'
_symmetry_Int_Tables_number 216
_symmetry_space_group_name_Hall 'F -4 2 3'
loop_
_atom_site_label
_atom_site_fract_x
_atom_site_fract_y
_atom_site_fract_z
Tm1 0.000 0.000 0.186
Tm2 0.060 0.250 0.750
Tm3 0.129 0.129 0.371
Zn1 0.157 0.157 0.157
Sb1 0.097 0.097 0.597
# **Relative energy among the computed polymorphs**: 0 meV/atom
# **Total DFT energy (no corrections)**: -4.330 eV per atom
# **Uncorrected formation energy**: -2.70 eV per formula unit